First-principles (GGA-PBE) data for a relaxed Na2HoGaGe2 crystal, as listed in the Alexandria database.

Computed properties:
total DFT energy (no corrections)	-3.64	eV per atom

a = 4.2578 Å, b = 7.2222 Å, c = 8.8074 Å
α = 90.00°, β = 90.00°, γ = 90.00°
Fractional coordinates of all 12 atoms:
Na 0.5000 0.0312 0.0821
Na 0.0000 0.3469 0.1607
Na 0.5000 0.5312 0.9179
Na 0.0000 0.8469 0.8393
Ho 0.0000 0.9892 0.4466
Ho 0.0000 0.4892 0.5534
Ga 0.5000 0.1523 0.6758
Ga 0.5000 0.6523 0.3242
Ge 0.0000 0.2515 0.8222
Ge 0.5000 0.2744 0.3878
Ge 0.0000 0.7515 0.1778
Ge 0.5000 0.7744 0.6122

***

First-principles (GGA-PBE) data for a relaxed NdHoGaGe crystal, as listed in the Alexandria database.

Computed properties:
total DFT energy (no corrections)	-5.01	eV per atom

a = 4.3891 Å, b = 4.0512 Å, c = 5.9263 Å
α = 90.00°, β = 111.73°, γ = 90.00°
Fractional coordinates of all 4 atoms:
Nd 0.1415 0.0000 0.2830
Ho 0.8620 0.5000 0.7240
Ga 0.5754 0.5000 0.1508
Ge 0.4211 0.0000 0.8422

***

First-principles (GGA-PBE) data for a relaxed NdHoGaGe crystal, as listed in the Alexandria database.

Computed properties:
total DFT energy (no corrections)	-4.81	eV per atom

a = 5.1334 Å, b = 5.1334 Å, c = 5.1334 Å
α = 60.00°, β = 60.00°, γ = 60.00°
Fractional coordinates of all 4 atoms:
Ge 0.5000 0.5000 0.5000
Nd 0.2500 0.2500 0.2500
Ho 0.7500 0.7500 0.7500
Ga 0.0000 0.0000 0.0000

***

First-principles (GGA-PBE) data for a relaxed HoGaNi3Ge crystal, as listed in the Alexandria database.

Computed properties:
total DFT energy (no corrections)	-5.29	eV per atom

a = 5.3909 Å, b = 6.1363 Å, c = 6.5370 Å
α = 117.99°, β = 90.00°, γ = 90.00°
Fractional coordinates of all 12 atoms:
Ho 0.7500 0.2946 0.5891
Ho 0.2500 0.7054 0.4109
Ga 0.2500 0.9509 0.9018
Ga 0.7500 0.0491 0.0982
Ni 0.2500 0.1590 0.3181
Ni 0.0000 0.3009 0.0000
Ni 0.5000 0.6991 0.0000
Ni 0.5000 0.3009 0.0000
Ni 0.0000 0.6991 0.0000
Ni 0.7500 0.8410 0.6819
Ge 0.2500 0.3629 0.7257
Ge 0.7500 0.6371 0.2743

***

First-principles (GGA-PBE) data for a relaxed HoGa2Ni4Ge crystal, as listed in the Alexandria database.

Computed properties:
total DFT energy (no corrections)	-5.22	eV per atom

a = 4.0752 Å, b = 4.0752 Å, c = 8.5087 Å
α = 76.14°, β = 76.14°, γ = 60.00°
Fractional coordinates of all 8 atoms:
Ho 0.0000 0.0000 0.0000
Ga 0.7507 0.7507 0.7480
Ga 0.2493 0.2493 0.2520
Ni 0.4056 0.4056 0.7832
Ni 0.8657 0.8657 0.4030
Ni 0.1343 0.1343 0.5970
Ni 0.5944 0.5944 0.2168
Ge 0.5000 0.5000 0.5000

***

First-principles (GGA-PBE) data for a relaxed PmHoGaGe crystal, as listed in the Alexandria database.

Computed properties:
total DFT energy (no corrections)	-4.81	eV per atom

a = 5.1132 Å, b = 5.1132 Å, c = 5.1132 Å
α = 60.00°, β = 60.00°, γ = 60.00°
Fractional coordinates of all 4 atoms:
Ge 0.0000 0.0000 0.0000
Ho 0.7500 0.7500 0.7500
Ga 0.5000 0.5000 0.5000
Pm 0.2500 0.2500 0.2500

***

First-principles (GGA-PBE) data for a relaxed PmHoGaGe crystal, as listed in the Alexandria database.

Computed properties:
total DFT energy (no corrections)	-5.02	eV per atom

a = 4.3728 Å, b = 4.0406 Å, c = 5.8959 Å
α = 90.00°, β = 111.77°, γ = 90.00°
Fractional coordinates of all 4 atoms:
Pm 0.1410 0.0000 0.2820
Ho 0.8615 0.5000 0.7230
Ga 0.5765 0.5000 0.1529
Ge 0.4210 0.0000 0.8420

***

First-principles (GGA-PBE) data for a relaxed Ho2Ga4GePt3 crystal, as listed in the Alexandria database.

Computed properties:
total DFT energy (no corrections)	-5.21	eV per atom

a = 4.1680 Å, b = 4.1680 Å, c = 10.8394 Å
α = 90.00°, β = 90.00°, γ = 90.00°
Fractional coordinates of all 10 atoms:
Ho 0.5000 0.0000 0.2449
Ho 0.0000 0.5000 0.7551
Ga 0.5000 0.5000 0.0000
Ga 0.0000 0.0000 0.0000
Ga 0.5000 0.0000 0.6402
Ga 0.0000 0.5000 0.3598
Ge 0.5000 0.5000 0.5000
Pt 0.0000 0.0000 0.5000
Pt 0.5000 0.0000 0.8642
Pt 0.0000 0.5000 0.1358

***

First-principles (GGA-PBE) data for a relaxed HoGaGePt3 crystal, as listed in the Alexandria database.

Computed properties:
total DFT energy (no corrections)	-5.78	eV per atom

a = 5.5593 Å, b = 5.5584 Å, c = 8.5552 Å
α = 108.96°, β = 90.00°, γ = 90.00°
Fractional coordinates of all 12 atoms:
Ho 0.7500 0.3133 0.6266
Ho 0.2500 0.6867 0.3734
Ga 0.2500 0.1011 0.2022
Ga 0.7500 0.8989 0.7978
Ge 0.2500 0.4044 0.8088
Ge 0.7500 0.5956 0.1912
Pt 0.2500 0.2531 0.5063
Pt 0.0000 0.2476 0.0000
Pt 0.5000 0.7524 0.0000
Pt 0.5000 0.2476 0.0000
Pt 0.0000 0.7524 0.0000
Pt 0.7500 0.7469 0.4937

***

First-principles (GGA-PBE) data for a relaxed HoPuGaGe crystal, as listed in the Alexandria database.

Computed properties:
total DFT energy (no corrections)	-7.10	eV per atom

a = 5.0296 Å, b = 5.0296 Å, c = 5.0296 Å
α = 60.00°, β = 60.00°, γ = 60.00°
Last column: magnetic moment on the atom in μB.
Fractional coordinates of all 4 atoms:
Ge 0.2500 0.2500 0.2500  -0.04
Ho 0.0000 0.0000 0.0000  0.14
Ga 0.7500 0.7500 0.7500  -0.02
Pu 0.5000 0.5000 0.5000  5.27

***

First-principles (GGA-PBE) data for a relaxed Ho2GaGe2Rh5 crystal, as listed in the Alexandria database.

Computed properties:
total DFT energy (no corrections)	-6.64	eV per atom

a = 3.5459 Å, b = 9.7371 Å, c = 9.7371 Å
α = 90.00°, β = 90.00°, γ = 90.00°
Fractional coordinates of all 20 atoms:
Ho 0.0000 0.6735 0.1735
Ho 0.0000 0.3265 0.8265
Ho 0.0000 0.1735 0.3265
Ho 0.0000 0.8265 0.6735
Ga 0.0000 0.0000 0.0000
Ga 0.0000 0.5000 0.5000
Ge 0.0000 0.1256 0.6256
Ge 0.0000 0.8744 0.3744
Ge 0.0000 0.6256 0.8744
Ge 0.0000 0.3744 0.1256
Rh 0.5000 0.2051 0.0667
Rh 0.5000 0.7949 0.9333
Rh 0.5000 0.0667 0.7949
Rh 0.5000 0.7051 0.4333
Rh 0.5000 0.9333 0.2051
Rh 0.5000 0.2949 0.5667
Rh 0.5000 0.5667 0.7051
Rh 0.5000 0.4333 0.2949
Rh 0.5000 0.5000 0.0000
Rh 0.5000 0.0000 0.5000

***

First-principles (GGA-PBE) data for a relaxed Ho2GaGe2Ru5 crystal, as listed in the Alexandria database.

Computed properties:
total DFT energy (no corrections)	-7.22	eV per atom

a = 3.3294 Å, b = 9.9853 Å, c = 9.9853 Å
α = 90.00°, β = 90.00°, γ = 90.00°
Fractional coordinates of all 20 atoms:
Ho 0.0000 0.6714 0.1714
Ho 0.0000 0.3286 0.8286
Ho 0.0000 0.1714 0.3286
Ho 0.0000 0.8286 0.6714
Ga 0.0000 0.0000 0.0000
Ga 0.0000 0.5000 0.5000
Ge 0.0000 0.1300 0.6300
Ge 0.0000 0.8700 0.3700
Ge 0.0000 0.6300 0.8700
Ge 0.0000 0.3700 0.1300
Ru 0.5000 0.2008 0.0632
Ru 0.5000 0.7992 0.9368
Ru 0.5000 0.0632 0.7992
Ru 0.5000 0.7008 0.4368
Ru 0.5000 0.9368 0.2008
Ru 0.5000 0.2992 0.5632
Ru 0.5000 0.5632 0.7008
Ru 0.5000 0.4368 0.2992
Ru 0.5000 0.5000 0.0000
Ru 0.5000 0.0000 0.5000